[1]
LiPaIr2: relaxed, PBE.

Results
Calculated volume   17.6 Å³ per atom
Mass density   14.6 g cm⁻³
Energy   -7.833 eV/atom
Space-group type   Fm-3m
Energy above the most stable polymorph in this dataset   58 kJ/mol of formula units

Lattice parameters (Å, degrees): 4.6386 4.6386 4.6386 60.00 60.00 60.00
Atoms (fractional coordinates):
Pa 0.0000 0.0000 0.0000
Li 0.5000 0.5000 0.5000
Ir 0.2500 0.2500 0.2500
Ir 0.7500 0.7500 0.7500

[2]
Th3Te3H2: relaxed, PBE.

Results
Calculated volume   24.1 Å³ per atom
Mass density   9.3 g cm⁻³
Energy   -5.683 eV/atom
Space-group type   Cmcm

Lattice parameters (Å, degrees): 4.0055 6.1448 16.5979 90.00 90.00 109.02
Atoms (fractional coordinates):
Th 0.6393 0.2786 0.4381
Th 0.3607 0.7214 0.9381
Th 0.6393 0.2786 0.0619
Th 0.3607 0.7214 0.5619
Th 0.3697 0.7394 0.2500
Th 0.6303 0.2606 0.7500
Te 0.9281 0.8562 0.3983
Te 0.0719 0.1438 0.8983
Te 0.9281 0.8562 0.1017
Te 0.0719 0.1438 0.6017
Te 0.6521 0.3043 0.2500
Te 0.3479 0.6957 0.7500
H 0.7640 0.5279 0.9537
H 0.2360 0.4721 0.4537
H 0.7640 0.5279 0.5463
H 0.2360 0.4721 0.0463

[3]
PPdWS2: relaxed, PBE.

Results
Calculated volume   20.4 Å³ per atom
Mass density   6.3 g cm⁻³
Energy   -5.883 eV/atom
E_form (uncorrected)   0.479 eV per atom
Space-group type   P4/mmm
Energy above the most stable polymorph in this dataset   0 kJ/mol of formula units

Lattice parameters (Å, degrees): 4.6191 4.6191 4.7837 90.00 90.00 90.00
Atoms (fractional coordinates):
P 0.0000 0.0000 0.5000
S 0.0000 0.5000 0.0000
S 0.5000 0.0000 0.0000
Pd 0.5000 0.5000 0.5000
W 0.0000 0.0000 0.0000

[4]
SnBr3F: relaxed, PBE.

Results
Calculated volume   32.2 Å³ per atom
Mass density   3.9 g cm⁻³
Energy   -2.479 eV/atom
E_form (uncorrected)   -0.301 eV per atom
Space-group type   Pm-3m
Energy above the most stable polymorph in this dataset   369 kJ/mol of formula units

Lattice parameters (Å, degrees): 5.4407 5.4407 5.4407 90.00 90.00 90.00
Site moments in Bohr magnetons follow the coordinates.
Atoms (fractional coordinates):
Sn 0.0000 0.0000 0.0000  0.02
Br 0.0000 0.5000 0.0000  -0.01
Br 0.0000 0.0000 0.5000  -0.02
Br 0.5000 0.0000 0.0000  0.00
F 0.5000 0.5000 0.5000  -0.52